Hf3ZnBr PBE relaxed; DFT total energy = -5.808 eV per atom; ΔE_f (raw) = 753 meV per atom; mass density = 9.6 Mg/m³; space group = Pm-3m (221); total moment = 0.0 Bohr magnetons per cell; energy relative to the lowest polymorph listed for this composition = 0 meV/atom
1.0
4.895 0.000 0.000
0.000 4.895 0.000
0.000 0.000 4.895
Br Hf Zn
1 3 1
direct
0.000 0.000 0.000
0.500 0.000 0.000
0.000 0.000 0.500
0.000 0.500 0.000
0.500 0.500 0.500


CeZrAl4 PBE relaxed; DFT total energy = -5.328 eV per atom; DFT formation energy = -419 meV per atom; mass density = 4.8 Mg/m³; space group = F-43m (216); total moment = 0.6 Bohr magnetons per cell
1.0
5.489 0.000 0.000
2.745 4.754 0.000
2.745 1.585 4.482
Al Ce Zr
4 1 1
direct
0.625 0.625 0.625
0.125 0.625 0.625
0.625 0.625 0.125
0.625 0.125 0.625
0.250 0.250 0.250
0.000 0.000 0.000


CrAg2Os PBE relaxed; DFT total energy = -6.201 eV per atom; DFT formation energy = 438 meV per atom; mass density = 12.2 Mg/m³; space group = Cmm2 (35); total moment = 0.0 Bohr magnetons per cell; energy relative to the lowest polymorph listed for this composition = 123 meV/atom
1.0
-1.814 -1.866 -0.748
2.367 -0.940 0.919
-3.488 -0.149 8.833
Cr Ag Os
1 2 1
direct
0.000 0.000 0.517
0.000 0.000 0.995
0.500 0.500 0.264
0.500 0.500 0.724


FeTcCl2 PBE relaxed; DFT total energy = -5.712 eV per atom; ΔE_f (raw) = -81 meV per atom; mass density = 4.8 Mg/m³; space group = Pm (6); total moment = 1.7 Bohr magnetons per cell; energy relative to the lowest polymorph listed for this composition = 0 meV/atom
1.0
-0.068 2.003 2.216
-0.849 -2.195 1.958
8.201 -1.573 1.673
Cl Tc Fe
2 1 1
direct
0.000 0.882 0.922
0.500 0.369 0.337
0.500 0.876 0.705
0.000 0.372 0.536


TcNi2Hg PBE relaxed; DFT total energy = -5.168 eV per atom; DFT formation energy = 390 meV per atom; mass density = 12.1 Mg/m³; space group = I4/mmm (139); total moment = 2.6 Bohr magnetons per cell
1.0
4.535 -0.011 -0.023
0.965 4.431 0.023
-2.738 -2.225 2.849
Ni Hg Tc
2 1 1
direct
0.000 0.000 0.000
0.500 0.500 0.000
0.250 0.750 0.500
0.750 0.250 0.500


BaInSb4 PBE relaxed; DFT total energy = -3.784 eV per atom; ΔE_f (raw) = -259 meV per atom; mass density = 6.4 Mg/m³; space group = F-43m (216); total moment = 0.0 Bohr magnetons per cell
1.0
0.507 -6.391 -0.901
-4.611 -3.960 2.231
-3.965 -3.010 -4.141
Sb In Ba
4 1 1
direct
0.373 0.881 0.373
0.881 0.373 0.373
0.373 0.373 0.373
0.373 0.373 0.881
0.000 0.000 0.000
0.750 0.750 0.750


LiCeN2 PBE relaxed; DFT total energy = -6.786 eV per atom; ΔE_f (raw) = -661 meV per atom; mass density = 5.5 Mg/m³; space group = R-3m (166); total moment = 0.0 Bohr magnetons per cell; energy relative to the lowest polymorph listed for this composition = 0 meV/atom
1.0
3.530 0.000 0.000
1.765 3.057 0.000
1.765 1.019 4.880
Li Ce N
1 1 2
direct
0.500 0.500 0.500
0.000 0.000 0.000
0.254 0.254 0.238
0.746 0.746 0.762


Co2RhBr PBE relaxed; DFT total energy = -5.056 eV per atom; ΔE_f (raw) = 753 meV per atom; mass density = 8.8 Mg/m³; space group = I4/mmm (139); total moment = 4.2 Bohr magnetons per cell; energy relative to the lowest polymorph listed for this composition = 328 meV/atom
1.0
-3.591 -2.016 -2.269
-2.755 -2.186 3.120
1.704 4.380 -0.126
Co Rh Br
2 1 1
direct
0.000 0.000 0.000
0.500 0.500 0.000
0.250 0.750 0.500
0.750 0.250 0.500


ThSn2Pd9 PBE relaxed; DFT total energy = -5.832 eV per atom; DFT formation energy = -652 meV per atom; mass density = 11.4 Mg/m³; space group = P4/mmm (123); total moment = 0.0 Bohr magnetons per cell
1.0
4.119 0.000 0.000
0.000 4.119 0.000
0.000 0.000 12.206
Pd Sn Th
9 2 1
direct
0.500 0.500 0.338
0.000 0.500 0.174
0.500 0.000 0.500
0.000 0.500 0.500
0.500 0.000 0.174
0.000 0.500 0.826
0.500 0.500 0.000
0.500 0.500 0.662
0.500 0.000 0.826
0.000 0.000 0.661
0.000 0.000 0.339
0.000 0.000 0.000


ErPa5As6 PBE relaxed; DFT total energy = -7.789 eV per atom; DFT formation energy = -1128 meV per atom; mass density = 10.1 Mg/m³; space group = C2/m (12); total moment = 0.0 Bohr magnetons per cell
1.0
-6.835 0.756 -1.687
-3.668 -5.542 2.453
-2.807 0.208 6.503
Pa As Er
5 6 1
direct
0.000 0.667 0.667
0.500 0.500 0.000
0.500 0.166 0.667
0.500 0.834 0.333
0.000 0.333 0.333
0.249 0.248 0.000
0.248 0.586 0.331
0.248 0.917 0.669
0.752 0.414 0.669
0.752 0.083 0.331
0.751 0.752 0.000
0.000 0.000 0.000


TiMnFeOs2 PBE relaxed; DFT total energy = -8.478 eV per atom; DFT formation energy = 1120 meV per atom; mass density = 11.2 Mg/m³; space group = P4/mmm (123); total moment = 0.0 Bohr magnetons per cell
1.0
4.421 0.000 0.000
0.000 4.094 0.000
0.000 0.000 4.421
Os Ti Mn Fe
2 1 1 1
direct
0.000 0.000 0.500
0.500 0.000 0.000
0.500 0.500 0.500
0.000 0.000 0.000
0.000 0.500 0.000


Rb3GaF5 PBE relaxed; DFT total energy = -4.168 eV per atom; ΔE_f (raw) = -2470 meV per atom; mass density = 3.6 Mg/m³; space group = I4/mcm (140); total moment = 1.4 Bohr magnetons per cell
1.0
7.753 0.000 0.000
0.000 7.753 0.000
-3.877 -3.877 6.433
F Rb Ga
10 6 2
direct
0.206 0.986 0.692
0.294 0.794 0.308
0.014 0.514 0.308
0.000 0.000 0.000
0.794 0.014 0.308
0.486 0.706 0.692
0.706 0.206 0.692
0.514 0.294 0.308
0.500 0.500 0.000
0.986 0.486 0.692
0.750 0.750 0.500
0.680 0.180 0.000
0.320 0.820 0.000
0.820 0.680 0.000
0.180 0.320 0.000
0.250 0.250 0.500
0.250 0.750 0.500
0.750 0.250 0.500